KRu2Au | PBE | relaxed

Distance to the lowest polymorph of the same formula   629 meV per atom
Energy relative to the elements   1.069 eV/atom
Space group   P4/mmm
Calculated density   8.137 g cm⁻³

Cell and atoms, written as CIF:
```
data_KRu2Au
_cell_length_a 3.460
_cell_length_b 3.460
_cell_length_c 7.469
_cell_angle_alpha 90.00
_cell_angle_beta 90.00
_cell_angle_gamma 90.00
_symmetry_space_group_name_H-M 'P 1'
_symmetry_Int_Tables_number 1
loop_
_symmetry_equiv_pos_as_xyz
'x,y,z'
loop_
_atom_site_label
_atom_site_type_symbol
_atom_site_fract_x
_atom_site_fract_y
_atom_site_fract_z
Ru1 Ru 0.000 0.000 0.409
Ru2 Ru 0.000 0.000 0.091
Au1 Au 0.500 0.500 0.250
K1 K 0.500 0.500 0.750
```